(1)
## ScBr (PBE)

Data for crystalline ScBr at its relaxed geometry.

Unit cell a=3.5003 b=3.5003 c=4.0064 alpha=90.00 beta=90.00 gamma=120.00
Space group P-6m2 (No. 187)
Symmetry-distinct sites (fractional):
1 Sc 0.0000 0.0000 0.0000 x1
2 Br 0.3333 0.6667 0.5000 x1

Output
- formation energy without anion corrections (eV per formula unit) = -1.79
- crystal system = hexagonal
- mass density (g/cm³) = 4.9
- total magnetic moment (μB/f.u.) = 0.00
- D(E_F) (states/eV/f.u.) = 0.36

***

(2)
## ScBr5 (PBE)

Data for crystalline ScBr5 at its relaxed geometry.

Unit cell a=5.3395 b=5.3395 c=6.1009 alpha=90.00 beta=90.00 gamma=120.00
Space group P-62m (No. 189)
Symmetry-distinct sites (fractional):
1 Sc 0.0000 0.0000 0.0000 x1
2 Br 0.0000 0.6777 0.5000 x3
3 Br 0.3333 0.6667 0.0000 x2

Output
- formation energy without anion corrections (eV per formula unit) = -2.16
- crystal system = hexagonal
- mass density (g/cm³) = 4.9
- total magnetic moment (μB/f.u.) = 0.00
- D(E_F) (states/eV/f.u.) = 1.95

***

(3)
## Sc5Br (PBE)

Data for crystalline Sc5Br at its relaxed geometry.

Unit cell a=5.226 b=3.396 c=16.378 alpha=90.00 beta=90.00 gamma=90.00
Space group Amm2 (No. 38)
Symmetry-distinct sites (fractional):
1 Sc 0.000 0.000 0.000 x2
2 Sc 0.000 0.000 0.325 x2
3 Sc 0.000 0.000 0.662 x2
4 Sc 0.500 0.000 0.115 x2
5 Sc 0.500 0.000 0.453 x2
6 Br 0.500 0.000 0.758 x2

Output
- formation energy without anion corrections (eV per formula unit) = -0.74
- crystal system = orthorhombic
- mass density (g/cm³) = 3.5
- total magnetic moment (μB/f.u.) = 1.39
- D(E_F) (states/eV/f.u.) = 9.15